[1]
# GeBiW3 | Alexandria | GGA-PBEsol | relaxed
data_GeBiW3
_chemical_formula_sum 'Ge1 Bi1 W3'
_space_group_name_H-M_alt 'P m -3 m'
_space_group_IT_number 221
_space_group_name_Hall '-P 4 2 3'
_cell_length_a 4.985
_cell_length_b 4.985
_cell_length_c 4.985
_cell_angle_alpha 90.00
_cell_angle_beta 90.00
_cell_angle_gamma 90.00
loop_
_atom_site_label
_atom_site_type_symbol
_atom_site_fract_x
_atom_site_fract_y
_atom_site_fract_z
_atom_site_occupancy
Ge1 Ge 0.000 0.000 0.000 1
Bi1 Bi 0.500 0.500 0.500 1
W1 W 0.000 0.500 0.500 1
# Magnetization ... 0.002 μB/f.u.
# DOS at the Fermi energy ... 1.386 states/eV per atom
# ΔE_f ... 3.308 eV per atom
# Calculated volume ... 124 Å³/f.u.
# E ... -6.821 eV per atom
# Crystal system ... cubic

---

[2]
# ZrGeBi2W | Alexandria | GGA-PBEsol | relaxed
data_ZrGeBi2W
_chemical_formula_sum 'Zr1 Ge1 Bi2 W1'
_space_group_name_H-M_alt 'P 4/m m m'
_space_group_IT_number 123
_space_group_name_Hall '-P 4 2'
_cell_length_a 5.317
_cell_length_b 5.317
_cell_length_c 4.615
_cell_angle_alpha 90.00
_cell_angle_beta 90.00
_cell_angle_gamma 90.00
loop_
_atom_site_label
_atom_site_type_symbol
_atom_site_fract_x
_atom_site_fract_y
_atom_site_fract_z
_atom_site_occupancy
Zr1 Zr 0.000 0.000 0.000 1
Ge1 Ge 0.500 0.500 0.500 1
Bi1 Bi 0.000 0.500 0.500 1
W1 W 0.500 0.500 0.000 1
# Magnetization ... 0.707 μB/f.u.
# DOS at the Fermi energy ... 0.941 states/eV per atom
# ΔE_f ... 1.191 eV per atom
# Calculated volume ... 130 Å³/f.u.
# E ... -6.090 eV per atom
# Crystal system ... tetragonal

---

[3]
# YGeBi3 | Alexandria | GGA-PBEsol | relaxed
data_YGeBi3
_chemical_formula_sum 'Y1 Ge1 Bi3'
_space_group_name_H-M_alt 'P m -3 m'
_space_group_IT_number 221
_space_group_name_Hall '-P 4 2 3'
_cell_length_a 5.417
_cell_length_b 5.417
_cell_length_c 5.417
_cell_angle_alpha 90.00
_cell_angle_beta 90.00
_cell_angle_gamma 90.00
loop_
_atom_site_label
_atom_site_type_symbol
_atom_site_fract_x
_atom_site_fract_y
_atom_site_fract_z
_atom_site_occupancy
Y1 Y 0.000 0.000 0.000 1
Ge1 Ge 0.500 0.500 0.500 1
Bi1 Bi 0.000 0.500 0.500 1
# Magnetization ... 0.000 μB/f.u.
# DOS at the Fermi energy ... 0.873 states/eV per atom
# ΔE_f ... 0.297 eV per atom
# Calculated volume ... 159 Å³/f.u.
# E ... -4.627 eV per atom
# Crystal system ... cubic

---

[4]
# Zr2Ge2Bi | Alexandria | GGA-PBEsol | relaxed
data_Zr2Ge2Bi
_chemical_formula_sum 'Zr4 Ge4 Bi2'
_space_group_name_H-M_alt 'I 4/m m m'
_space_group_IT_number 139
_space_group_name_Hall '-I 4 2'
_cell_length_a 3.740
_cell_length_b 3.740
_cell_length_c 14.857
_cell_angle_alpha 90.00
_cell_angle_beta 90.00
_cell_angle_gamma 90.00
loop_
_atom_site_label
_atom_site_type_symbol
_atom_site_fract_x
_atom_site_fract_y
_atom_site_fract_z
_atom_site_occupancy
Zr1 Zr 0.000 0.000 0.108 1
Ge1 Ge 0.000 0.500 0.250 1
Bi1 Bi 0.000 0.000 0.500 1
# Magnetization ... 0.001 μB/f.u.
# DOS at the Fermi energy ... 0.506 states/eV per atom
# ΔE_f ... -0.515 eV per atom
# Calculated volume ... 104 Å³/f.u.
# E ... -6.983 eV per atom
# Crystal system ... tetragonal

---

[5]
# Zr3GeBi | Alexandria | GGA-PBEsol | relaxed
data_Zr3GeBi
_chemical_formula_sum 'Zr3 Ge1 Bi1'
_space_group_name_H-M_alt 'P m -3 m'
_space_group_IT_number 221
_space_group_name_Hall '-P 4 2 3'
_cell_length_a 5.308
_cell_length_b 5.308
_cell_length_c 5.308
_cell_angle_alpha 90.00
_cell_angle_beta 90.00
_cell_angle_gamma 90.00
loop_
_atom_site_label
_atom_site_type_symbol
_atom_site_fract_x
_atom_site_fract_y
_atom_site_fract_z
_atom_site_occupancy
Zr1 Zr 0.000 0.000 0.500 1
Ge1 Ge 0.500 0.500 0.500 1
Bi1 Bi 0.000 0.000 0.000 1
# Magnetization ... 0.001 μB/f.u.
# DOS at the Fermi energy ... 1.505 states/eV per atom
# ΔE_f ... 1.149 eV per atom
# Calculated volume ... 150 Å³/f.u.
# E ... -6.150 eV per atom
# Crystal system ... cubic

---

[6]
# BiH | Alexandria | GGA-PBEsol | relaxed
data_BiH
_chemical_formula_sum 'Bi4 H4'
_space_group_name_H-M_alt 'C 1 2/m 1'
_space_group_IT_number 12
_space_group_name_Hall '-C 2y'
_cell_length_a 7.338
_cell_length_b 4.239
_cell_length_c 7.316
_cell_angle_alpha 90.00
_cell_angle_beta 91.52
_cell_angle_gamma 90.00
loop_
_atom_site_label
_atom_site_type_symbol
_atom_site_fract_x
_atom_site_fract_y
_atom_site_fract_z
_atom_site_occupancy
Bi1 Bi 0.164 0.000 0.381 1
H1 H 0.006 0.500 0.052 1
# Magnetization ... 0.000 μB/f.u.
# Calculated volume ... 57 Å³/f.u.
# E ... -3.667 eV per atom
# Crystal system ... monoclinic

---

[7]
# Hf3BiH | Alexandria | GGA-PBEsol | relaxed
data_Hf3BiH
_chemical_formula_sum 'Hf3 Bi1 H1'
_space_group_name_H-M_alt 'P m -3 m'
_space_group_IT_number 221
_space_group_name_Hall '-P 4 2 3'
_cell_length_a 4.429
_cell_length_b 4.429
_cell_length_c 4.429
_cell_angle_alpha 90.00
_cell_angle_beta 90.00
_cell_angle_gamma 90.00
loop_
_atom_site_label
_atom_site_type_symbol
_atom_site_fract_x
_atom_site_fract_y
_atom_site_fract_z
_atom_site_occupancy
Hf1 Hf 0.000 0.000 0.500 1
Bi1 Bi 0.500 0.500 0.500 1
H1 H 0.000 0.000 0.000 1
# Magnetization ... 0.000 μB/f.u.
# DOS at the Fermi energy ... 0.862 states/eV per atom
# Calculated volume ... 87 Å³/f.u.
# E ... -8.021 eV per atom
# Crystal system ... cubic

---

[8]
# HfBi3H | Alexandria | GGA-PBEsol | relaxed
data_HfBi3H
_chemical_formula_sum 'Hf1 Bi3 H1'
_space_group_name_H-M_alt 'P m -3 m'
_space_group_IT_number 221
_space_group_name_Hall '-P 4 2 3'
_cell_length_a 4.817
_cell_length_b 4.817
_cell_length_c 4.817
_cell_angle_alpha 90.00
_cell_angle_beta 90.00
_cell_angle_gamma 90.00
loop_
_atom_site_label
_atom_site_type_symbol
_atom_site_fract_x
_atom_site_fract_y
_atom_site_fract_z
_atom_site_occupancy
Hf1 Hf 0.000 0.000 0.000 1
Bi1 Bi 0.000 0.500 0.500 1
H1 H 0.500 0.500 0.500 1
# Magnetization ... 0.000 μB/f.u.
# DOS at the Fermi energy ... 0.602 states/eV per atom
# Calculated volume ... 112 Å³/f.u.
# E ... -4.930 eV per atom
# Crystal system ... cubic

---

[9]
# Hg3BiH | Alexandria | GGA-PBEsol | relaxed
data_Hg3BiH
_chemical_formula_sum 'Hg3 Bi1 H1'
_space_group_name_H-M_alt 'P m -3 m'
_space_group_IT_number 221
_space_group_name_Hall '-P 4 2 3'
_cell_length_a 4.671
_cell_length_b 4.671
_cell_length_c 4.671
_cell_angle_alpha 90.00
_cell_angle_beta 90.00
_cell_angle_gamma 90.00
loop_
_atom_site_label
_atom_site_type_symbol
_atom_site_fract_x
_atom_site_fract_y
_atom_site_fract_z
_atom_site_occupancy
Hg1 Hg 0.000 0.000 0.500 1
Bi1 Bi 0.500 0.500 0.500 1
H1 H 0.000 0.000 0.000 1
# Magnetization ... 0.001 μB/f.u.
# DOS at the Fermi energy ... 0.564 states/eV per atom
# Calculated volume ... 102 Å³/f.u.
# E ... -1.526 eV per atom
# Crystal system ... cubic

---

[10]
# HgBi2H | Alexandria | GGA-PBEsol | relaxed
data_HgBi2H
_chemical_formula_sum 'Hg4 Bi8 H4'
_space_group_name_H-M_alt 'F m -3 m'
_space_group_IT_number 225
_space_group_name_Hall '-F 4 2 3'
_cell_length_a 7.090
_cell_length_b 7.090
_cell_length_c 7.090
_cell_angle_alpha 90.00
_cell_angle_beta 90.00
_cell_angle_gamma 90.00
loop_
_atom_site_label
_atom_site_type_symbol
_atom_site_fract_x
_atom_site_fract_y
_atom_site_fract_z
_atom_site_occupancy
Hg1 Hg 0.000 0.000 0.000 1
Bi1 Bi 0.250 0.250 0.250 1
H1 H 0.000 0.000 0.500 1
# Magnetization ... 0.000 μB/f.u.
# DOS at the Fermi energy ... 0.577 states/eV per atom
# Calculated volume ... 89 Å³/f.u.
# E ... -2.663 eV per atom
# Crystal system ... cubic

---

[11]
# BiHI3 | Alexandria | GGA-PBEsol | relaxed
data_BiHI3
_chemical_formula_sum 'Bi1 H1 I3'
_space_group_name_H-M_alt 'P m -3 m'
_space_group_IT_number 221
_space_group_name_Hall '-P 4 2 3'
_cell_length_a 6.052
_cell_length_b 6.052
_cell_length_c 6.052
_cell_angle_alpha 90.00
_cell_angle_beta 90.00
_cell_angle_gamma 90.00
loop_
_atom_site_label
_atom_site_type_symbol
_atom_site_fract_x
_atom_site_fract_y
_atom_site_fract_z
_atom_site_occupancy
Bi1 Bi 0.000 0.000 0.000 1
H1 H 0.500 0.500 0.500 1
I1 I 0.000 0.000 0.500 1
# Magnetization ... 1.002 μB/f.u.
# DOS at the Fermi energy ... 0.048 states/eV per atom
# Calculated volume ... 222 Å³/f.u.
# E ... -2.309 eV per atom
# Crystal system ... cubic

---

[12]
# BiHI2 | Alexandria | GGA-PBEsol | relaxed
data_BiHI2
_chemical_formula_sum 'Bi4 H4 I8'
_space_group_name_H-M_alt 'I -4 2 d'
_space_group_IT_number 122
_space_group_name_Hall 'I -4 2bw'
_cell_length_a 7.422
_cell_length_b 7.422
_cell_length_c 7.797
_cell_angle_alpha 90.00
_cell_angle_beta 90.00
_cell_angle_gamma 90.00
loop_
_atom_site_label
_atom_site_type_symbol
_atom_site_fract_x
_atom_site_fract_y
_atom_site_fract_z
_atom_site_occupancy
Bi1 Bi 0.000 0.000 0.000 1
H1 H 0.000 0.000 0.500 1
I1 I 0.188 0.750 0.625 1
# Magnetization ... 0.000 μB/f.u.
# DOS at the Fermi energy ... 0.318 states/eV per atom
# Calculated volume ... 107 Å³/f.u.
# E ... -2.389 eV per atom
# Crystal system ... tetragonal

---

[13]
# BiHIO2 | Alexandria | GGA-PBEsol | relaxed
data_BiHIO2
_chemical_formula_sum 'Bi1 H1 I1 O2'
_space_group_name_H-M_alt 'P 4/m m m'
_space_group_IT_number 123
_space_group_name_Hall '-P 4 2'
_cell_length_a 4.092
_cell_length_b 4.092
_cell_length_c 6.499
_cell_angle_alpha 90.00
_cell_angle_beta 90.00
_cell_angle_gamma 90.00
loop_
_atom_site_label
_atom_site_type_symbol
_atom_site_fract_x
_atom_site_fract_y
_atom_site_fract_z
_atom_site_occupancy
Bi1 Bi 0.000 0.000 0.000 1
H1 H 0.500 0.500 0.500 1
I1 I 0.000 0.000 0.500 1
O1 O 0.000 0.500 0.000 1
# Magnetization ... 0.002 μB/f.u.
# DOS at the Fermi energy ... 0.340 states/eV per atom
# Calculated volume ... 109 Å³/f.u.
# E ... -3.783 eV per atom
# Crystal system ... tetragonal

---

[14]
# BiHI2O | Alexandria | GGA-PBEsol | relaxed
data_BiHI2O
_chemical_formula_sum 'Bi1 H1 I2 O1'
_space_group_name_H-M_alt 'P 4/m m m'
_space_group_IT_number 123
_space_group_name_Hall '-P 4 2'
_cell_length_a 5.964
_cell_length_b 5.964
_cell_length_c 4.139
_cell_angle_alpha 90.00
_cell_angle_beta 90.00
_cell_angle_gamma 90.00
loop_
_atom_site_label
_atom_site_type_symbol
_atom_site_fract_x
_atom_site_fract_y
_atom_site_fract_z
_atom_site_occupancy
Bi1 Bi 0.000 0.000 0.000 1
H1 H 0.000 0.000 0.500 1
I1 I 0.000 0.500 0.000 1
O1 O 0.500 0.500 0.500 1
# Magnetization ... 1.981 μB/f.u.
# DOS at the Fermi energy ... 1.027 states/eV per atom
# Calculated volume ... 147 Å³/f.u.
# E ... -2.656 eV per atom
# Crystal system ... tetragonal

---

[15]
# SnBiH2I | Alexandria | GGA-PBEsol | relaxed
data_SnBiH2I
_chemical_formula_sum 'Sn1 Bi1 H2 I1'
_space_group_name_H-M_alt 'P 4/m m m'
_space_group_IT_number 123
_space_group_name_Hall '-P 4 2'
_cell_length_a 4.345
_cell_length_b 4.345
_cell_length_c 6.670
_cell_angle_alpha 90.00
_cell_angle_beta 90.00
_cell_angle_gamma 90.00
loop_
_atom_site_label
_atom_site_type_symbol
_atom_site_fract_x
_atom_site_fract_y
_atom_site_fract_z
_atom_site_occupancy
Sn1 Sn 0.000 0.000 0.000 1
Bi1 Bi 0.500 0.500 0.500 1
H1 H 0.000 0.500 0.500 1
I1 I 0.500 0.500 0.000 1
# Magnetization ... 0.745 μB/f.u.
# DOS at the Fermi energy ... 0.561 states/eV per atom
# Calculated volume ... 126 Å³/f.u.
# E ... -2.845 eV per atom
# Crystal system ... tetragonal

---

[16]
# InBiH3 | Alexandria | GGA-PBEsol | relaxed
data_InBiH3
_chemical_formula_sum 'In1 Bi1 H3'
_space_group_name_H-M_alt 'P m -3 m'
_space_group_IT_number 221
_space_group_name_Hall '-P 4 2 3'
_cell_length_a 4.288
_cell_length_b 4.288
_cell_length_c 4.288
_cell_angle_alpha 90.00
_cell_angle_beta 90.00
_cell_angle_gamma 90.00
loop_
_atom_site_label
_atom_site_type_symbol
_atom_site_fract_x
_atom_site_fract_y
_atom_site_fract_z
_atom_site_occupancy
In1 In 0.000 0.000 0.000 1
Bi1 Bi 0.500 0.500 0.500 1
H1 H 0.000 0.500 0.500 1
# Magnetization ... 0.000 μB/f.u.
# DOS at the Fermi energy ... 0.271 states/eV per atom
# Calculated volume ... 79 Å³/f.u.
# E ... -2.900 eV per atom
# Crystal system ... cubic

---

[17]
# InSnBi2H | Alexandria | GGA-PBEsol | relaxed
data_InSnBi2H
_chemical_formula_sum 'In1 Sn1 Bi2 H1'
_space_group_name_H-M_alt 'P 4/m m m'
_space_group_IT_number 123
_space_group_name_Hall '-P 4 2'
_cell_length_a 5.998
_cell_length_b 5.998
_cell_length_c 3.541
_cell_angle_alpha 90.00
_cell_angle_beta 90.00
_cell_angle_gamma 90.00
loop_
_atom_site_label
_atom_site_type_symbol
_atom_site_fract_x
_atom_site_fract_y
_atom_site_fract_z
_atom_site_occupancy
In1 In 0.000 0.000 0.000 1
Sn1 Sn 0.500 0.500 0.500 1
Bi1 Bi 0.000 0.500 0.000 1
H1 H 0.000 0.000 0.500 1
# Magnetization ... 0.000 μB/f.u.
# DOS at the Fermi energy ... 0.503 states/eV per atom
# Calculated volume ... 127 Å³/f.u.
# E ... -3.604 eV per atom
# Crystal system ... tetragonal

---

[18]
# TlInBiH2 | Alexandria | GGA-PBEsol | relaxed
data_TlInBiH2
_chemical_formula_sum 'Tl1 In1 Bi1 H2'
_space_group_name_H-M_alt 'P 4/m m m'
_space_group_IT_number 123
_space_group_name_Hall '-P 4 2'
_cell_length_a 4.211
_cell_length_b 4.211
_cell_length_c 6.172
_cell_angle_alpha 90.00
_cell_angle_beta 90.00
_cell_angle_gamma 90.00
loop_
_atom_site_label
_atom_site_type_symbol
_atom_site_fract_x
_atom_site_fract_y
_atom_site_fract_z
_atom_site_occupancy
Tl1 Tl 0.000 0.000 0.000 1
In1 In 0.500 0.500 0.500 1
Bi1 Bi 0.500 0.500 0.000 1
H1 H 0.000 0.500 0.500 1
# Magnetization ... 0.000 μB/f.u.
# DOS at the Fermi energy ... 0.193 states/eV per atom
# Calculated volume ... 109 Å³/f.u.
# E ... -2.964 eV per atom
# Crystal system ... tetragonal

---

[19]
# BiH2Ir | Alexandria | GGA-PBEsol | relaxed
data_BiH2Ir
_chemical_formula_sum 'Bi4 H8 Ir4'
_space_group_name_H-M_alt 'F m -3 m'
_space_group_IT_number 225
_space_group_name_Hall '-F 4 2 3'
_cell_length_a 5.765
_cell_length_b 5.765
_cell_length_c 5.765
_cell_angle_alpha 90.00
_cell_angle_beta 90.00
_cell_angle_gamma 90.00
loop_
_atom_site_label
_atom_site_type_symbol
_atom_site_fract_x
_atom_site_fract_y
_atom_site_fract_z
_atom_site_occupancy
Bi1 Bi 0.000 0.000 0.000 1
H1 H 0.250 0.250 0.250 1
Ir1 Ir 0.000 0.000 0.500 1
# Magnetization ... 0.000 μB/f.u.
# DOS at the Fermi energy ... 0.615 states/eV per atom
# Calculated volume ... 48 Å³/f.u.
# E ... -4.231 eV per atom
# Crystal system ... cubic

---

[20]
# K2BiH2 | Alexandria | GGA-PBEsol | relaxed
data_K2BiH2
_chemical_formula_sum 'K4 Bi2 H4'
_space_group_name_H-M_alt 'P 4/m b m'
_space_group_IT_number 127
_space_group_name_Hall '-P 4 2ab'
_cell_length_a 7.640
_cell_length_b 7.640
_cell_length_c 3.713
_cell_angle_alpha 90.00
_cell_angle_beta 90.00
_cell_angle_gamma 90.00
loop_
_atom_site_label
_atom_site_type_symbol
_atom_site_fract_x
_atom_site_fract_y
_atom_site_fract_z
_atom_site_occupancy
K1 K 0.148 0.352 0.000 1
Bi1 Bi 0.000 0.000 0.500 1
H1 H 0.171 0.671 0.500 1
# Magnetization ... 0.000 μB/f.u.
# DOS at the Fermi energy ... 0.282 states/eV per atom
# Calculated volume ... 108 Å³/f.u.
# E ... -2.529 eV per atom
# Crystal system ... tetragonal